The following is a PBE calculation of a geometry-optimized Pr5Zr3Ni16As12 structure, from Alexandria via LeMat-Bulk.

Cell: 12.8871 12.8871 4.0283 Å, 90.00 90.00 120.00°
Last column: nearest neighbours and their distance in Å.
Space group P-62m (No. 189)
Unique sites:
Pr1 0.0000 0.8110 0.0000 (multiplicity 3)  6 As 3.03-3.12, 10 Ni 3.14-3.34
Pr2 0.3333 0.6667 0.5000 (multiplicity 2)  6 As 3.07, 9 Ni 3.20-3.27
Zr1 0.0000 0.4286 0.5000 (multiplicity 3)  5 As 2.66-2.83, 4 Ni 2.78-2.82
Ni1 0.0000 0.0000 0.5000 (multiplicity 1)  3 As 2.32
Ni2 0.0000 0.2750 0.0000 (multiplicity 3)  4 As 2.36-2.41
Ni3 0.1186 0.6320 0.0000 (multiplicity 6)  4 As 2.44-2.54, 1 Ni 2.65
Ni4 0.1874 0.3796 0.5000 (multiplicity 6)  4 As 2.39-2.50
As1 0.0000 0.1802 0.5000 (multiplicity 3)  5 Ni 2.32-2.50
As2 0.0000 0.6350 0.5000 (multiplicity 3)  6 Ni 2.39-2.54, 1 Zr 2.66
As3 0.1721 0.4735 0.0000 (multiplicity 6)  5 Ni 2.41-2.46

**D(E_F)**: 19.8 states/eV/cell
**VASP energy**: -6.32 eV per atom
**Volume**: 16.1 Å³ per atom
**E_form**: -29.74 eV/f.u.